#one
A relaxed AcGdSc2 crystal. Source: the Alexandria database, functional PBE.

Values from the calculation:
**M_tot**: 7.43 μB per cell
**DOS at the Fermi energy**: 1.46 states/eV/atom
**Calculated volume**: 124 Å³ per cell
**SG**: Fm-3m, No. 225

a = 5.594 Å, b = 5.594 Å, c = 5.594 Å
α = 60.00°, β = 60.00°, γ = 60.00°
Each line ends with the local moment (μB).
Positions (direct):
Sc: 0.250 0.250 0.250  0.01
Sc: 0.750 0.750 0.750  0.01
Ac: 0.500 0.500 0.500  -0.02
Gd: 0.000 0.000 0.000  7.16

#two
A relaxed AcGdSc2 crystal. Source: the Alexandria database, functional PBE.

Values from the calculation:
**M_tot**: 7.19 μB per cell
**DOS at the Fermi energy**: 1.35 states/eV/atom
**Calculated volume**: 123 Å³ per cell
**SG**: R-3m, No. 166

a = 3.581 Å, b = 3.581 Å, c = 11.262 Å
α = 80.85°, β = 80.85°, γ = 60.00°
Each line ends with the local moment (μB).
Positions (direct):
Sc: 0.748 0.748 0.757  -0.04
Sc: 0.252 0.252 0.243  -0.04
Ac: 0.500 0.500 0.500  -0.01
Gd: 0.000 0.000 0.000  7.12

#three
A relaxed AcGdSc2 crystal. Source: the Alexandria database, functional PBE.

Values from the calculation:
**M_tot**: 7.37 μB per cell
**DOS at the Fermi energy**: 1.42 states/eV/atom
**Calculated volume**: 124 Å³ per cell
**SG**: P4/mmm, No. 123

a = 3.988 Å, b = 3.988 Å, c = 7.775 Å
α = 90.00°, β = 90.00°, γ = 90.00°
Each line ends with the local moment (μB).
Positions (direct):
Sc: 0.000 0.000 0.771  0.01
Sc: 0.000 0.000 0.229  0.01
Ac: 0.500 0.500 0.500  -0.04
Gd: 0.500 0.500 0.000  7.16

The most stable structure shown above is #three; the least stable is #two.